The following is a DFT calculation (PBE) of a relaxed structure of Sc2Si2Ni2H.

Summary:
SG	C2/m, No. 12
VASP energy	-87.37	eV/cell

a b c (Å): 9.7489 3.8199 6.4832
angles (deg): 90.00 128.84 90.00
With the nearest neighbours (Å) after each atom.
Sites, in units of the cell vectors:
1 Sc 0.0572 0.0000 0.2974  2 H 2.52, 3 Si 2.75-2.81
2 Sc 0.4428 0.5000 0.7026  2 H 2.52, 3 Si 2.75-2.81
3 Sc 0.5572 0.5000 0.2974  2 H 2.52, 3 Si 2.75-2.81
4 Sc 0.9428 0.0000 0.7026  2 H 2.52, 3 Si 2.75-2.81
5 Si 0.1538 0.5000 0.6864  3 Ni 2.28-2.36, 1 Si 2.40
6 Si 0.3462 0.0000 0.3136  3 Ni 2.28-2.36, 1 Si 2.40
7 Si 0.6538 0.0000 0.6864  3 Ni 2.28-2.36, 1 Si 2.40
8 Si 0.8462 0.5000 0.3136  3 Ni 2.28-2.36, 1 Si 2.40
9 Ni 0.2010 0.5000 0.0903  1 H 1.66
10 Ni 0.2990 0.0000 0.9097  1 H 1.66
11 Ni 0.7010 0.0000 0.0903  1 H 1.66
12 Ni 0.7990 0.5000 0.9097  1 H 1.66
13 H 0.0000 0.5000 0.0000  2 Ni 1.66
14 H 0.5000 0.0000 0.0000  2 Ni 1.66